(1)
Below is a geometry-optimized LiCdSi structure, with properties calculated at the PBE level.

**Raw formation energy**: -0.01 eV/atom
**Size of the total moment**: 0.00 μB per atom

abc: 3.6643 5.1365 6.6056
angles: 106.37 90.00 110.90
Atoms (fractional coordinates):
Li (0.9909, 0.9818, 0.7841)
Li (0.0091, 0.0182, 0.2159)
Cd (0.3435, 0.6869, 0.4189)
Cd (0.6565, 0.3131, 0.5811)
Si (0.6938, 0.3876, 0.0612)
Si (0.3062, 0.6124, 0.9388)

(2)
Below is a geometry-optimized LiCdSi structure, with properties calculated at the PBE level.

**Raw formation energy**: -0.02 eV/atom
**Size of the total moment**: 0.00 μB per atom

abc: 3.3712 4.5900 7.2092
angles: 90.00 90.00 90.00
Atoms (fractional coordinates):
Li (0.0000, 0.0000, 0.4363)
Li (0.5000, 0.5000, 0.9363)
Cd (0.0000, 0.0000, 0.8345)
Cd (0.5000, 0.5000, 0.3345)
Si (0.0000, 0.5000, 0.6378)
Si (0.5000, 0.0000, 0.1378)

(3)
Below is a geometry-optimized LiCdSi2 structure, with properties calculated at the PBE level.

**Raw formation energy**: 0.18 eV/atom
**Size of the total moment**: 0.00 μB per atom

abc: 5.2645 6.1502 2.7929
angles: 62.99 90.00 118.14
Atoms (fractional coordinates):
Cd (0.5000, 0.5000, 0.0000)
Li (0.5000, 0.0000, 0.5000)
Si (0.0000, 0.0000, 0.0000)
Si (0.0000, 0.5000, 0.5000)

(4)
Below is a geometry-optimized Li8Cd2Si structure, with properties calculated at the PBE level.

**Raw formation energy**: -0.11 eV/atom
**Size of the total moment**: 0.00 μB per atom
**Energy relative to the lowest polymorph listed for this composition**: 0.079 eV/atom

abc: 4.4915 7.4616 7.4904
angles: 60.13 80.05 69.71
Atoms (fractional coordinates):
Li (0.8903, 0.0836, 0.2023)
Li (0.8903, 0.2859, 0.7977)
Li (0.3207, 0.3658, 0.0000)
Li (0.5000, 0.8020, 0.3960)
Li (0.5000, 0.1980, 0.6040)
Li (0.6793, 0.6342, 0.0000)
Li (0.1097, 0.7141, 0.2023)
Li (0.1097, 0.9164, 0.7977)
Cd (0.0000, 0.3153, 0.3693)
Cd (0.0000, 0.6847, 0.6307)
Si (0.5000, 0.0000, 0.0000)

(5)
Below is a geometry-optimized LiCdSi2 structure, with properties calculated at the PBE level.

**Raw formation energy**: 0.22 eV/atom
**Size of the total moment**: 0.00 μB per atom

abc: 10.1480 10.1480 10.1480
angles: 15.96 15.96 15.96
Atoms (fractional coordinates):
Cd (0.2500, 0.2500, 0.2500)
Li (0.7500, 0.7500, 0.7500)
Si (0.0100, 0.0100, 0.0100)
Si (0.4900, 0.4900, 0.4900)

(6)
Below is a geometry-optimized LiCdSi2 structure, with properties calculated at the PBE level.

**Raw formation energy**: 0.17 eV/atom
**Size of the total moment**: 0.00 μB per atom

abc: 5.0716 5.0716 5.4501
angles: 69.02 69.02 33.78
Atoms (fractional coordinates):
Cd (0.4919, 0.4919, 0.5307)
Li (0.2694, 0.2694, 0.1928)
Si (0.0234, 0.0234, 0.0513)
Si (0.7152, 0.7152, 0.7252)

(7)
Below is a geometry-optimized Li8CdSi2 structure, with properties calculated at the PBE level.

**Raw formation energy**: -0.16 eV/atom
**Size of the total moment**: 0.00 μB per atom

abc: 4.4590 6.2235 7.6814
angles: 113.90 106.87 90.00
Atoms (fractional coordinates):
Li (0.6667, 0.8907, 0.3335)
Li (0.3333, 0.5573, 0.6665)
Li (0.1706, 0.1705, 0.3411)
Li (0.0000, 0.2971, 0.0000)
Li (0.8294, 0.8295, 0.6589)
Li (0.6667, 0.4427, 0.3335)
Li (0.3333, 0.1093, 0.6665)
Li (0.0000, 0.7028, 0.0000)
Cd (0.5000, 0.0000, 0.0000)
Si (0.1802, 0.6802, 0.3605)
Si (0.8198, 0.3198, 0.6395)

(8)
Below is a geometry-optimized LiCdSi2 structure, with properties calculated at the PBE level.

**Raw formation energy**: 0.37 eV/atom
**Size of the total moment**: 0.00 μB per atom

abc: 7.6251 7.6251 5.9723
angles: 50.33 50.33 90.00
Atoms (fractional coordinates):
Si (0.6337, 0.1250, 0.2500)
Si (0.1163, 0.6250, 0.2500)
Si (0.3750, 0.3663, 0.7500)
Si (0.8750, 0.8837, 0.7500)
Li (0.5000, 0.5000, 0.0000)
Li (0.2500, 0.7500, 0.5000)
Cd (0.0000, 0.0000, 0.0000)
Cd (0.7500, 0.2500, 0.5000)

(9)
Below is a geometry-optimized Li2Cd2Si structure, with properties calculated at the PBE level.

**Raw formation energy**: 0.02 eV/atom
**Size of the total moment**: 0.00 μB per atom
**Energy relative to the lowest polymorph listed for this composition**: 0.004 eV/atom

abc: 7.1394 7.1394 3.7429
angles: 90.00 90.00 90.00
Atoms (fractional coordinates):
Si (0.0000, 0.0000, 0.0000)
Si (0.5000, 0.5000, 0.0000)
Li (0.1606, 0.6606, 0.5000)
Li (0.6606, 0.8394, 0.5000)
Li (0.8394, 0.3394, 0.5000)
Li (0.3394, 0.1606, 0.5000)
Cd (0.3587, 0.8587, 0.0000)
Cd (0.8587, 0.6413, 0.0000)
Cd (0.6413, 0.1413, 0.0000)
Cd (0.1413, 0.3587, 0.0000)

(10)
Below is a geometry-optimized Li2CdSi2 structure, with properties calculated at the PBE level.

**Raw formation energy**: -0.06 eV/atom
**Size of the total moment**: 0.00 μB per atom
**Energy relative to the lowest polymorph listed for this composition**: 0.000 eV/atom

abc: 7.3785 7.3785 3.0710
angles: 90.00 90.00 90.00
Atoms (fractional coordinates):
Si (0.3892, 0.8892, 0.0000)
Si (0.8892, 0.6108, 0.0000)
Si (0.6108, 0.1108, 0.0000)
Si (0.1108, 0.3892, 0.0000)
Li (0.1870, 0.6870, 0.5000)
Li (0.6870, 0.8130, 0.5000)
Li (0.8130, 0.3130, 0.5000)
Li (0.3130, 0.1870, 0.5000)
Cd (0.0000, 0.0000, 0.0000)
Cd (0.5000, 0.5000, 0.0000)

(11)
Below is a geometry-optimized Li2CdSi2 structure, with properties calculated at the PBE level.

**Raw formation energy**: 0.09 eV/atom
**Size of the total moment**: 0.00 μB per atom
**Energy relative to the lowest polymorph listed for this composition**: 0.151 eV/atom

abc: 7.9333 7.9333 2.6653
angles: 90.00 90.00 90.00
Atoms (fractional coordinates):
Si (0.1837, 0.6837, 0.5000)
Si (0.6837, 0.8163, 0.5000)
Si (0.8163, 0.3163, 0.5000)
Si (0.3163, 0.1837, 0.5000)
Li (0.3865, 0.8865, 0.0000)
Li (0.8865, 0.6135, 0.0000)
Li (0.6135, 0.1135, 0.0000)
Li (0.1135, 0.3865, 0.0000)
Cd (0.0000, 0.0000, 0.0000)
Cd (0.5000, 0.5000, 0.0000)

(12)
Below is a geometry-optimized Li7Cd2Si structure, with properties calculated at the PBE level.

**Raw formation energy**: -0.10 eV/atom
**Size of the total moment**: 0.00 μB per atom

abc: 4.4763 4.4763 10.4863
angles: 90.00 90.00 120.00
Atoms (fractional coordinates):
Li (0.3333, 0.6667, 0.3960)
Li (0.3333, 0.6667, 0.1393)
Li (0.0000, 0.0000, 0.3136)
Li (0.0000, 0.0000, 0.7859)
Li (0.6667, 0.3333, 0.5297)
Li (0.6667, 0.3333, 0.9641)
Li (0.3333, 0.6667, 0.9171)
Cd (0.6667, 0.3333, 0.2333)
Cd (0.3333, 0.6667, 0.6574)
Si (0.0000, 0.0000, 0.0470)